*1*
Density functional theory data (PBE) for crystalline Nd3Mg5Ag2 at its relaxed geometry.

Cell: 10.672 10.672 4.499 Å, 90.00 90.00 90.00°
Fractional coordinates of all 20 atoms:
Nd1 0.000 0.000 0.000
Nd2 0.179 0.321 0.000
Nd3 0.321 0.821 0.000
Nd4 0.500 0.500 0.000
Nd5 0.679 0.179 0.000
Nd6 0.821 0.679 0.000
Mg1 0.000 0.500 0.500
Mg2 0.064 0.782 0.500
Mg3 0.218 0.064 0.500
Mg4 0.282 0.564 0.500
Mg5 0.436 0.282 0.500
Mg6 0.500 0.000 0.500
Mg7 0.564 0.718 0.500
Mg8 0.718 0.436 0.500
Mg9 0.782 0.936 0.500
Mg10 0.936 0.218 0.500
Ag1 0.115 0.615 0.000
Ag2 0.385 0.115 0.000
Ag3 0.615 0.885 0.000
Ag4 0.885 0.385 0.000

## Properties
Its size of the total moment is 0.0 μB/f.u. The space-group type is P4/mbm (127).

*2*
Density functional theory data (PBE) for crystalline Nd3Mg5Ag2 at its relaxed geometry.

Cell: 9.663 9.663 9.663 Å, 96.59 96.05 141.24°
Fractional coordinates of all 20 atoms:
Nd1 0.138 0.248 0.385
Nd2 0.250 0.250 0.000
Nd3 0.362 0.748 0.110
Nd4 0.638 0.252 0.890
Nd5 0.750 0.750 0.000
Nd6 0.862 0.752 0.615
Mg1 0.012 0.750 0.262
Mg2 0.107 0.658 0.765
Mg3 0.250 0.750 0.500
Mg4 0.393 0.158 0.551
Mg5 0.488 0.750 0.738
Mg6 0.512 0.250 0.262
Mg7 0.607 0.842 0.449
Mg8 0.750 0.250 0.500
Mg9 0.893 0.342 0.235
Mg10 0.988 0.250 0.738
Ag1 0.147 0.859 0.006
Ag2 0.353 0.359 0.712
Ag3 0.647 0.641 0.288
Ag4 0.853 0.141 0.994

## Properties
Its size of the total moment is 0.0 μB/f.u. The space-group type is Ibam (72).

Short version: *1*, *2*, most stable first.